Material: RbHf3Al
Method: DFT, GGA-PBE
State: relaxed

Calculated values
* density of states at the Fermi level: 12.07 states/eV/cell
* mass density: 7.5 g/cm3
* space group: Pm-3m
* formation energy: 1.19 eV/atom
* M_tot: 0.000 Bohr magnetons per cell

a b c (Å): 5.240 5.240 5.240
angles (deg): 90.00 90.00 90.00
Fractional coordinates of all 5 atoms:
1 Hf 0.000 0.500 0.000
2 Hf 0.000 0.000 0.500
3 Hf 0.500 0.000 0.000
4 Al 0.000 0.000 0.000
5 Rb 0.500 0.500 0.500

Material: Mg2Si2BRh5
Method: DFT, GGA-PBE
State: relaxed

Calculated values
* ΔE_f (raw): -0.568 eV per atom
* density of states at the Fermi level: 8.26 states/eV/cell
* mass density: 7.6 g/cm3
* space group: P4/mbm
* M_tot: 0.000 Bohr magnetons per cell

a b c (Å): 2.904 9.765 9.765
angles (deg): 90.00 90.00 90.00
Fractional coordinates of all 20 atoms:
1 Mg 0.000 0.670 0.170
2 Mg 0.000 0.330 0.830
3 Mg 0.000 0.170 0.330
4 Mg 0.000 0.830 0.670
5 Si 0.000 0.137 0.637
6 Si 0.000 0.863 0.363
7 Si 0.000 0.637 0.863
8 Si 0.000 0.363 0.137
9 B 0.000 0.000 0.000
10 B 0.000 0.500 0.500
11 Rh 0.500 0.187 0.061
12 Rh 0.500 0.813 0.939
13 Rh 0.500 0.061 0.813
14 Rh 0.500 0.687 0.439
15 Rh 0.500 0.939 0.187
16 Rh 0.500 0.313 0.561
17 Rh 0.500 0.561 0.687
18 Rh 0.500 0.439 0.313
19 Rh 0.500 0.500 0.000
20 Rh 0.500 0.000 0.500

Material: SrNb2CuN4
Method: DFT, GGA-PBE
State: relaxed

Calculated values
* ΔE_f (raw): -0.678 eV per atom
* density of states at the Fermi level: 2.49 states/eV/cell
* mass density: 6.7 g/cm3
* space group: Cmcm
* M_tot: 0.000 Bohr magnetons per cell

a b c (Å): 3.272 5.654 10.986
angles (deg): 90.00 90.00 106.82
Fractional coordinates of all 16 atoms:
1 Sr 0.102 0.205 0.750
2 Sr 0.898 0.795 0.250
3 Nb 0.370 0.740 0.552
4 Nb 0.630 0.260 0.052
5 Nb 0.630 0.260 0.448
6 Nb 0.370 0.740 0.948
7 Cu 0.831 0.662 0.750
8 Cu 0.169 0.338 0.250
9 N 0.270 0.540 0.102
10 N 0.730 0.460 0.602
11 N 0.730 0.460 0.898
12 N 0.270 0.540 0.398
13 N 0.000 0.000 0.500
14 N 0.000 0.000 0.000
15 N 0.432 0.863 0.750
16 N 0.568 0.137 0.250